1.
VASP calculation (PBE) on an optimized crystal structure of Cr2As. Values from VASP.

Structure (Quantum ESPRESSO input):
```
&SYSTEM
  ibrav = 0, nat = 12, ntyp = 2
/
ATOMIC_SPECIES
Cr 52.00 Cr.upf
As 74.92 As.upf
CELL_PARAMETERS angstrom
-3.7378 -10.0639 -7.4945
-4.1544 -12.1031 -2.7707
1.4990 11.8929 5.2662
ATOMIC_POSITIONS crystal
Cr 0.4255 0.4255 0.0000
Cr 0.2492 0.2492 0.0000
Cr 0.4992 0.9992 0.5000
As 0.0701 0.0701 0.0000
Cr 0.8245 0.3245 0.5000
Cr 0.7508 0.7508 0.0000
As 0.1799 0.6799 0.5000
Cr 0.6755 0.1755 0.5000
Cr 0.5745 0.5745 0.0000
As 0.9299 0.9299 0.0000
As 0.3201 0.8201 0.5000
Cr 0.0008 0.5008 0.5000
```

Values from the calculation:
Volume   14.3 A^3/atom
DFT formation energy   0.080 eV per atom
E   -7.8857 eV per atom

---

2.
VASP calculation (PBE) on an optimized crystal structure of Cr2As. Values from VASP.

Structure (Quantum ESPRESSO input):
```
&SYSTEM
  ibrav = 0, nat = 6, ntyp = 2
/
ATOMIC_SPECIES
Cr 52.00 Cr.upf
As 74.92 As.upf
CELL_PARAMETERS angstrom
-1.4468 1.4468 9.7412
1.4468 -1.4468 9.7412
1.4468 1.4468 -9.7412
ATOMIC_POSITIONS crystal
Cr 0.3299 0.8299 0.5000
Cr 0.4201 0.4201 0.0000
Cr 0.5799 0.5799 0.0000
Cr 0.1701 0.6701 0.5000
As 0.0000 0.0000 0.0000
As 0.7500 0.2500 0.5000
```

Values from the calculation:
Volume   13.6 A^3/atom
DFT formation energy   0.457 eV per atom
E   -7.5081 eV per atom